# 1
Entry from Alexandria via LeMat-Bulk: a geometry-optimized GdScTlAu structure (GGA-PBE).

## Properties
The formation energy is -2.08 eV per formula unit. The value obtained for the volume is 23.8 Å³/atom. The value obtained for the uncorrected energy is -28.14 eV/cell. Its symmetry is F-43m.

The structure in CIF format:
```
data_GdScTlAu
_chemical_formula_sum 'Gd1 Sc1 Tl1 Au1'
_cell_length_a 5.127
_cell_length_b 5.127
_cell_length_c 5.127
_cell_angle_alpha 60.00
_cell_angle_beta 60.00
_cell_angle_gamma 60.00
_space_group_name_H-M_alt 'P 1'
_space_group_IT_number 1
loop_
_space_group_symop_operation_xyz
'x,y,z'
loop_
_atom_site_label
_atom_site_type_symbol
_atom_site_fract_x
_atom_site_fract_y
_atom_site_fract_z
_atom_site_occupancy
Tl1 Tl 0.000 0.000 0.000 1
Gd1 Gd 0.750 0.750 0.750 1
Sc1 Sc 0.250 0.250 0.250 1
Au1 Au 0.500 0.500 0.500 1
```

***

# 2
Entry from Alexandria via LeMat-Bulk: a geometry-optimized Ac2ThGa6 structure (GGA-PBE).

## Properties
The formation energy is -5.59 eV per formula unit. The value obtained for the volume is 24.8 Å³/atom. The value obtained for the uncorrected energy is -39.39 eV/cell. Its symmetry is P6/mmm.

The structure in CIF format:
```
data_Ac2ThGa6
_chemical_formula_sum 'Ac2 Th1 Ga6'
_cell_length_a 4.527
_cell_length_b 7.544
_cell_length_c 7.544
_cell_angle_alpha 120.00
_cell_angle_beta 90.00
_cell_angle_gamma 90.00
_space_group_name_H-M_alt 'P 1'
_space_group_IT_number 1
loop_
_space_group_symop_operation_xyz
'x,y,z'
loop_
_atom_site_label
_atom_site_type_symbol
_atom_site_fract_x
_atom_site_fract_y
_atom_site_fract_z
_atom_site_occupancy
Ga1 Ga 0.500 0.000 0.671 1
Ga2 Ga 0.500 0.671 0.000 1
Ga3 Ga 0.500 0.000 0.329 1
Ga4 Ga 0.500 0.671 0.671 1
Ga5 Ga 0.500 0.329 0.000 1
Ga6 Ga 0.500 0.329 0.329 1
Ac1 Ac 0.000 0.667 0.333 1
Ac2 Ac 0.000 0.333 0.667 1
Th1 Th 0.000 0.000 0.000 1
```

***

# 3
Entry from Alexandria via LeMat-Bulk: a geometry-optimized Ba2Li3SnAu12 structure (GGA-PBE).

## Properties
The formation energy is -5.97 eV per formula unit. The value obtained for the volume is 23.1 Å³/atom. The value obtained for the uncorrected energy is -58.89 eV/cell. Its symmetry is R-3m.

The structure in CIF format:
```
data_Ba2Li3SnAu12
_chemical_formula_sum 'Ba2 Li3 Sn1 Au12'
_cell_length_a 10.341
_cell_length_b 10.341
_cell_length_c 10.341
_cell_angle_alpha 40.23
_cell_angle_beta 40.23
_cell_angle_gamma 40.23
_space_group_name_H-M_alt 'P 1'
_space_group_IT_number 1
loop_
_space_group_symop_operation_xyz
'x,y,z'
loop_
_atom_site_label
_atom_site_type_symbol
_atom_site_fract_x
_atom_site_fract_y
_atom_site_fract_z
_atom_site_occupancy
Au1 Au 0.593 0.593 0.186 1
Au2 Au 0.593 0.186 0.593 1
Au3 Au 0.814 0.407 0.407 1
Au4 Au 0.917 0.917 0.377 1
Au5 Au 0.407 0.814 0.407 1
Au6 Au 0.917 0.377 0.917 1
Au7 Au 0.377 0.917 0.917 1
Au8 Au 0.083 0.623 0.083 1
Au9 Au 0.407 0.407 0.814 1
Au10 Au 0.186 0.593 0.593 1
Au11 Au 0.083 0.083 0.623 1
Au12 Au 0.623 0.083 0.083 1
Li1 Li 0.500 0.000 0.000 1
Li2 Li 0.000 0.500 0.000 1
Li3 Li 0.000 0.000 0.500 1
Sn1 Sn 0.000 0.000 0.000 1
Ba1 Ba 0.353 0.353 0.353 1
Ba2 Ba 0.647 0.647 0.647 1
```

***

Question: Look up the uncorrected energy of the second one.
Answer: -39.39 eV/cell

***

Question: Among the records above, which one has the highest volume?
Answer: Ac2ThGa6

***

Question: Which of these has the lowest volume?
Answer: Ba2Li3SnAu12

***

Question: What is the volume in the first record?
Answer: 23.8 Å³/atom